This record from Alexandria describes a relaxed RbHfO2F crystal. The functional is GGA-PBE.

POSCAR file:
```
RbHfO2F
1.0
4.506 0.000 0.000
0.000 4.506 0.000
0.000 0.000 4.514
Rb Hf O F
1 1 2 1
direct
0.000 0.000 0.000
0.500 0.500 0.500
0.000 0.500 0.000
0.500 0.000 0.000
0.000 0.000 0.500
```

Output
As for the formation energy (no corrections): 0.25 eV/atom. As for the space group: P4/mmm. The value obtained for the total energy is -0.3155 Ry per atom. For the spin magnetization, the calculation gives 0.39 μB/cell.

This record from Alexandria describes a relaxed Hf2HCl crystal. The functional is GGA-PBE.

POSCAR file:
```
Hf2HCl
1.0
6.302 0.000 0.000
0.000 6.302 0.000
0.000 0.000 6.302
Hf H Cl
8 4 4
direct
0.250 0.250 0.250
0.250 0.250 0.750
0.250 0.750 0.250
0.250 0.750 0.750
0.750 0.250 0.250
0.750 0.250 0.750
0.750 0.750 0.250
0.750 0.750 0.750
0.000 0.000 0.000
0.000 0.500 0.500
0.500 0.000 0.500
0.500 0.500 0.000
0.000 0.000 0.500
0.000 0.500 0.000
0.500 0.000 0.000
0.500 0.500 0.500
```

Output
As for the space group: Fm-3m. The value obtained for the total energy is -0.4378 Ry per atom. The value obtained for the distance to the lowest polymorph of the same formula is 1.95 eV/f.u. For the spin magnetization, the calculation gives 0.00 μB/cell.

This record from Alexandria describes a relaxed BeReP crystal. The functional is GGA-PBE.

POSCAR file:
```
BeReP
1.0
2.933 0.000 0.000
0.000 4.679 0.000
0.000 0.000 11.302
Be Re P
4 4 4
direct
0.000 0.000 0.000
0.000 0.500 0.500
0.500 0.000 0.500
0.500 0.500 0.000
0.000 0.000 0.329
0.000 0.500 0.829
0.500 0.000 0.829
0.500 0.500 0.329
0.000 0.000 0.657
0.000 0.500 0.157
0.500 0.000 0.157
0.500 0.500 0.657
```

Output
As for the space group: Fmm2. Its formation energy is 0.43 eV per atom. The value obtained for the total energy is -0.4974 Ry per atom. The value obtained for the distance to the lowest polymorph of the same formula is 2.49 eV/f.u. For the spin magnetization, the calculation gives 0.00 μB/cell.

This record from Alexandria describes a relaxed PmEr5Ga6 crystal. The functional is GGA-PBE.

POSCAR file:
```
PmEr5Ga6
1.0
4.423 -5.415 0.000
4.423 5.415 0.000
-1.471 0.000 6.220
Pm Er Ga
1 5 6
direct
0.000 0.000 0.000
0.166 0.834 0.500
0.336 0.664 0.000
0.500 0.500 0.500
0.664 0.336 0.000
0.834 0.166 0.500
0.080 0.425 0.256
0.251 0.251 0.740
0.425 0.080 0.256
0.575 0.920 0.744
0.749 0.749 0.260
0.920 0.575 0.744
```

Output
As for the space group: C2/m. Its formation energy is -0.42 eV per atom. The value obtained for the total energy is -0.3108 Ry per atom. The value obtained for the distance to the lowest polymorph of the same formula is 1.86 eV/f.u. For the spin magnetization, the calculation gives 0.00 μB/cell.

This record from Alexandria describes a relaxed Nd2HoIn3Te6 crystal. The functional is GGA-PBE.

POSCAR file:
```
Nd2HoIn3Te6
1.0
3.883 -6.725 0.000
3.883 6.725 0.000
-2.590 0.000 8.110
Nd Ho In Te
2 1 3 6
direct
0.166 0.834 0.000
0.834 0.166 0.000
0.500 0.500 0.000
0.000 0.000 0.500
0.331 0.669 0.500
0.669 0.331 0.500
0.101 0.426 0.777
0.251 0.251 0.226
0.426 0.101 0.777
0.574 0.899 0.223
0.749 0.749 0.774
0.899 0.574 0.223
```

Output
As for the formation energy (no corrections): -0.98 eV/atom. As for the space group: C2/m. The value obtained for the total energy is -0.3243 Ry per atom. For the spin magnetization, the calculation gives 0.00 μB/cell.

This record from Alexandria describes a relaxed NaHfF3 crystal. The functional is GGA-PBE.

POSCAR file:
```
NaHfF3
1.0
4.063 0.000 0.000
0.000 4.063 0.000
0.000 0.000 4.063
Na Hf F
1 1 3
direct
0.000 0.000 0.000
0.500 0.500 0.500
0.000 0.000 0.500
0.000 0.500 0.000
0.500 0.000 0.000
```

Output
As for the formation energy (no corrections): -1.70 eV/atom. As for the space group: Pm-3m. The value obtained for the total energy is -0.3735 Ry per atom. The value obtained for the distance to the lowest polymorph of the same formula is 3.39 eV/f.u. For the spin magnetization, the calculation gives 1.79 μB/cell.

This record from Alexandria describes a relaxed Ba8Na6Ir crystal. The functional is GGA-PBE.

POSCAR file:
```
Ba8Na6Ir
1.0
11.329 0.000 0.000
-5.664 9.811 0.000
0.000 0.000 6.959
Ba Na Ir
8 6 1
direct
0.017 0.785 0.260
0.215 0.232 0.260
0.232 0.017 0.740
0.333 0.667 0.262
0.667 0.333 0.738
0.768 0.983 0.260
0.785 0.768 0.740
0.983 0.215 0.740
0.090 0.610 0.758
0.390 0.480 0.758
0.480 0.090 0.242
0.520 0.910 0.758
0.610 0.520 0.242
0.910 0.390 0.242
0.000 0.000 0.500
```

Output
As for the space group: P-3. Its formation energy is -0.04 eV per atom. The value obtained for the total energy is -0.1604 Ry per atom. For the spin magnetization, the calculation gives 0.00 μB/cell.

This record from Alexandria describes a relaxed LaCdRe3 crystal. The functional is GGA-PBE.

POSCAR file:
```
LaCdRe3
1.0
4.918 0.000 0.000
0.000 4.918 0.000
0.000 0.000 4.918
La Cd Re
1 1 3
direct
0.000 0.000 0.000
0.500 0.500 0.500
0.000 0.500 0.500
0.500 0.000 0.500
0.500 0.500 0.000
```

Output
As for the space group: Pm-3m. Its formation energy is 2.35 eV per atom. The value obtained for the total energy is -0.4623 Ry per atom. The value obtained for the distance to the lowest polymorph of the same formula is 0.00 eV/f.u. For the spin magnetization, the calculation gives 0.00 μB/cell.

This record from Alexandria describes a relaxed Ir3Au crystal. The functional is GGA-PBE.

POSCAR file:
```
Ir3Au
1.0
4.838 0.000 0.000
0.000 9.197 0.000
0.000 0.000 5.543
Ir Au
12 4
direct
0.079 0.250 0.146
0.238 0.508 0.876
0.238 0.992 0.876
0.262 0.008 0.376
0.262 0.492 0.376
0.421 0.750 0.646
0.579 0.250 0.354
0.738 0.508 0.624
0.738 0.992 0.624
0.762 0.008 0.124
0.762 0.492 0.124
0.921 0.750 0.854
0.068 0.250 0.636
0.432 0.750 0.136
0.568 0.250 0.864
0.932 0.750 0.364
```

Output
As for the space group: Pnma. Its formation energy is 0.33 eV per atom. The value obtained for the total energy is -0.5246 Ry per atom. For the spin magnetization, the calculation gives 0.00 μB/cell.

This record from Alexandria describes a relaxed MgAlPSe2 crystal. The functional is GGA-PBE.

POSCAR file:
```
MgAlPSe2
1.0
5.026 0.000 0.000
0.000 5.026 0.000
0.000 0.000 4.517
Mg Al P Se
1 1 1 2
direct
0.000 0.000 0.000
0.500 0.500 0.500
0.500 0.500 0.000
0.000 0.500 0.500
0.500 0.000 0.500
```

Output
As for the formation energy (no corrections): 0.05 eV/atom. As for the space group: P4/mmm. The value obtained for the total energy is -0.2570 Ry per atom. For the spin magnetization, the calculation gives 0.00 μB/cell.

This record from Alexandria describes a relaxed NdY3Pd crystal. The functional is GGA-PBE.

POSCAR file:
```
NdY3Pd
1.0
5.854 -4.256 0.000
5.854 4.256 0.000
-4.876 0.000 6.274
Nd Y Pd
2 6 2
direct
0.040 0.040 0.308
0.960 0.960 0.692
0.094 0.496 0.262
0.428 0.428 0.728
0.496 0.094 0.262
0.504 0.906 0.738
0.572 0.572 0.272
0.906 0.504 0.738
0.274 0.274 0.925
0.726 0.726 0.075
```

Output
As for the space group: C2/m. Its formation energy is -0.27 eV per atom. The value obtained for the total energy is -0.4513 Ry per atom. The value obtained for the distance to the lowest polymorph of the same formula is 0.21 eV/f.u. For the spin magnetization, the calculation gives 0.00 μB/cell.

This record from Alexandria describes a relaxed TbThS3 crystal. The functional is GGA-PBE.

POSCAR file:
```
TbThS3
1.0
7.450 0.000 0.000
0.000 3.990 0.000
0.000 0.000 15.160
Tb Th S
4 4 12
direct
0.239 0.250 0.044
0.261 0.750 0.544
0.739 0.250 0.456
0.761 0.750 0.956
0.128 0.750 0.294
0.372 0.250 0.794
0.628 0.750 0.206
0.872 0.250 0.706
0.011 0.750 0.107
0.127 0.250 0.434
0.152 0.750 0.722
0.348 0.250 0.222
0.373 0.750 0.934
0.489 0.250 0.607
0.511 0.750 0.393
0.627 0.250 0.066
0.652 0.750 0.778
0.848 0.250 0.278
0.873 0.750 0.566
0.989 0.250 0.893
```

Output
As for the formation energy (no corrections): -2.01 eV/atom. As for the space group: Pnma. The value obtained for the total energy is -0.5071 Ry per atom. The value obtained for the distance to the lowest polymorph of the same formula is 0.00 eV/f.u. For the spin magnetization, the calculation gives 0.00 μB/cell.